Entry 1:
4
Lattice="3.567 0.000 0.000 0.000 3.567 0.000 0.000 0.000 7.469" Properties=species:S:1:pos:R:3 comment="CaDyCdRh, relaxed, DFT GGA-PBE" formation_enthalpy_0k_kj_per_mol_fu=-198 e_above_lowest_polymorph_mev_per_atom=0 space_group="P4mm (99)" total_energy_ev_per_atom=-4.230 pbc="T T T"
Ca 0.000 0.000 0.000
Dy 0.000 0.000 4.169
Cd 1.784 1.784 2.134
Rh 1.784 1.784 5.553

---

Entry 2:
4
Lattice="0.000 3.568 3.568 3.568 0.000 3.568 3.568 3.568 0.000" Properties=species:S:1:pos:R:3 comment="CaDyCdRu, relaxed, DFT GGA-PBE" formation_enthalpy_0k_kj_per_mol_fu=-42 space_group="F-43m (216)" total_energy_ev_per_atom=-4.308 pbc="T T T"
Ca 0.000 0.000 0.000
Dy 3.568 3.568 3.568
Cd 1.784 1.784 1.784
Ru 5.351 5.351 5.351

---

Entry 3:
8
Lattice="7.091 0.000 0.000 0.000 4.149 0.000 -2.500 0.000 7.010" Properties=species:S:1:pos:R:3 comment="Ca2DyCdSe4, relaxed, DFT GGA-PBE" formation_energy_uncorrected_mev_per_atom=-1544 space_group="P2/m (10)" total_energy_ev_per_atom=-4.476 pbc="T T T"
Ca 0.000 0.000 0.000
Ca -1.250 2.074 3.505
Dy 2.295 0.000 3.505
Cd 3.545 2.074 0.000
Se 1.172 2.074 1.802
Se -0.022 0.000 5.221
Se 4.613 0.000 1.789
Se 3.418 2.074 5.208